VASP calculation (PBE-GGA) on crystalline Pa4Sb6Ru7 at its relaxed geometry.

a b c (Å): 7.5862 7.5862 7.5862
angles (deg): 109.47 109.47 109.47
With the nearest neighbours (Å) after each atom.
Fractional coordinates of all 17 atoms:
Pa 0.0000 0.0000 0.5000  6 Ru 3.10, 6 Sb 3.14
Pa 0.0000 0.5000 0.0000  6 Ru 3.10, 6 Sb 3.14
Pa 0.5000 0.0000 0.0000  6 Ru 3.10, 6 Sb 3.14
Pa 0.5000 0.5000 0.5000  6 Ru 3.10, 6 Sb 3.14
Sb 0.0000 0.3112 0.3112  5 Ru 2.73-2.74
Sb 0.0000 0.6888 0.6888  5 Ru 2.73-2.74
Sb 0.3112 0.0000 0.3112  5 Ru 2.73-2.74
Sb 0.3112 0.3112 0.0000  5 Ru 2.73-2.74
Sb 0.6888 0.0000 0.6888  5 Ru 2.73-2.74
Sb 0.6888 0.6888 0.0000  5 Ru 2.73-2.74
Ru 0.0000 0.0000 0.0000  6 Sb 2.73
Ru 0.2500 0.5000 0.7500  4 Sb 2.74
Ru 0.2500 0.7500 0.5000  4 Sb 2.74
Ru 0.5000 0.2500 0.7500  4 Sb 2.74
Ru 0.5000 0.7500 0.2500  4 Sb 2.74
Ru 0.7500 0.2500 0.5000  4 Sb 2.74
Ru 0.7500 0.5000 0.2500  4 Sb 2.74

Its volume is 19.77 Å³ per atom. As for the uncorrected formation energy: -488 meV per atom. The density of states at the Fermi level comes out at 0.964 states/eV/atom. As for the uncorrected energy: -7.997 eV per atom.

=====

VASP calculation (PBE-GGA) on crystalline NaTl8In2 at its relaxed geometry.

a b c (Å): 9.6838 9.6838 6.0078
angles (deg): 107.24 107.24 38.95
With the nearest neighbours (Å) after each atom.
Fractional coordinates of all 11 atoms:
Na 0.0000 0.0000 0.0000  10 Tl 3.34-3.61
Tl 0.1528 0.6589 0.5046  4 Tl 3.19-3.45, 2 In 3.32-3.35, 1 Na 3.34
Tl 0.1994 0.1994 0.0629  2 In 3.18-3.23, 1 Na 3.54
Tl 0.3411 0.8472 0.4954  4 Tl 3.19-3.45, 2 In 3.32-3.35, 1 Na 3.34
Tl 0.4176 0.4176 0.0447  1 In 3.15, 3 Tl 3.22-3.27
Tl 0.5824 0.5824 0.9553  1 In 3.15, 3 Tl 3.22-3.27
Tl 0.6589 0.1528 0.5046  4 Tl 3.19-3.45, 2 In 3.32-3.35, 1 Na 3.34
Tl 0.8006 0.8006 0.9371  2 In 3.18-3.23, 1 Na 3.54
Tl 0.8472 0.3411 0.4954  4 Tl 3.19-3.45, 2 In 3.32-3.35, 1 Na 3.34
In 0.2633 0.2633 0.6196  7 Tl 3.15-3.35, 2 In 3.51
In 0.7367 0.7367 0.3804  7 Tl 3.15-3.35, 2 In 3.51

Its volume is 30.56 Å³ per atom. As for the formation energy: 0.0078 eV per atom. The value obtained for the energy above the lowest structure with this stoichiometry is 2.2 kJ per mole of atoms. The density of states at the Fermi level comes out at 0.566 states/eV/atom. As for the uncorrected energy: -2.331 eV per atom.

=====

VASP calculation (PBE-GGA) on crystalline LuBi2Pd at its relaxed geometry.

a b c (Å): 10.5112 10.5112 10.5112
angles (deg): 19.26 19.26 19.26
With the nearest neighbours (Å) after each atom.
Fractional coordinates of all 4 atoms:
Lu 0.0000 0.0000 0.0000  2 Bi 3.12
Bi 0.1009 0.1009 0.1009  3 Pd 2.88, 1 Lu 3.12
Bi 0.8991 0.8991 0.8991  3 Pd 2.88, 1 Lu 3.12
Pd 0.5000 0.5000 0.5000  6 Bi 2.88

Its volume is 27.62 Å³ per atom. As for the formation energy: -0.0474 eV per atom. The density of states at the Fermi level comes out at 0.852 states/eV/atom. As for the uncorrected energy: -4.416 eV per atom.